[1]
This record from Alexandria describes a relaxed DyThNi2As2 crystal. The functional is PBE-GGA.

Summary:
The symmetry is No. 164. The value obtained for the formation energy is -1.0695 eV/atom.

a b c (Å): 4.0742 4.0742 7.9592
angles (deg): 90.00 90.00 120.00
Atoms (fractional coordinates):
As: 0.3333 0.6667 0.2674
Dy: 0.0000 0.0000 0.5000
Ni: 0.6667 0.3333 0.2368
Th: 0.0000 0.0000 0.0000
As: 0.6667 0.3333 0.7326
Ni: 0.3333 0.6667 0.7632



[2]
This record from Alexandria describes a relaxed Dy2ZnNi4As3 crystal. The functional is PBE-GGA.

Summary:
The symmetry is No. 115. The value obtained for the formation energy is -0.7639 eV/atom.

a b c (Å): 4.0041 4.0041 9.9121
angles (deg): 90.00 90.00 90.00
Atoms (fractional coordinates):
Ni: 0.0000 0.5000 0.3656
Ni: 0.5000 0.0000 0.6344
As: 0.0000 0.0000 0.5000
Dy: 0.0000 0.5000 0.7549
Ni: 0.5000 0.5000 0.0000
As: 0.5000 0.0000 0.8663
Zn: 0.5000 0.5000 0.5000
Dy: 0.5000 0.0000 0.2451
Ni: 0.0000 0.0000 0.0000
As: 0.0000 0.5000 0.1337



[3]
This record from Alexandria describes a relaxed Dy5Zr3Ni16As12 crystal. The functional is PBE-GGA.

Summary:
The symmetry is No. 189. The value obtained for the formation energy is -0.8359 eV/atom.

a b c (Å): 3.9368 12.7711 12.7708
angles (deg): 120.00 90.00 90.00
Atoms (fractional coordinates):
As: 0.5000 0.1728 0.6943
As: 0.5000 0.8272 0.5214
Dy: 0.0000 0.6667 0.3333
As: 0.5000 0.3057 0.4786
As: 0.5000 0.6943 0.1728
Ni: 0.5000 0.5161 0.6370
Ni: 0.0000 0.0000 0.0000
Zr: 0.0000 0.4353 0.4353
Ni: 0.0000 0.3770 0.1925
Dy: 0.5000 0.8152 0.8152
Ni: 0.0000 0.1925 0.3770
As: 0.0000 0.1780 0.1780
Ni: 0.0000 0.8156 0.6230
Dy: 0.5000 0.0000 0.1848
Ni: 0.5000 0.2755 0.2755
As: 0.0000 0.8219 0.0000
Ni: 0.5000 0.3630 0.8792
Ni: 0.5000 0.7245 0.0000
Dy: 0.0000 0.3333 0.6667
Ni: 0.0000 0.8075 0.1844
As: 0.5000 0.4786 0.3057
Ni: 0.5000 0.4839 0.1208
As: 0.0000 0.6431 0.6430
As: 0.0000 0.0000 0.3570
Ni: 0.5000 0.6370 0.5161
Ni: 0.0000 0.6230 0.8156
As: 0.0000 0.0000 0.8220
Ni: 0.0000 0.1844 0.8075
Zr: 0.0000 0.0000 0.5647
As: 0.5000 0.5214 0.8272
Ni: 0.5000 0.1208 0.4839
Ni: 0.5000 0.0000 0.7245
Zr: 0.0000 0.5647 0.0000
As: 0.0000 0.3569 0.0000
Dy: 0.5000 0.1848 0.0000
Ni: 0.5000 0.8792 0.3630



[4]
This record from Alexandria describes a relaxed DyNp4As5 crystal. The functional is PBE-GGA.

Summary:
The symmetry is No. 71. The value obtained for the formation energy is -0.8225 eV/atom.

a b c (Å): 4.0737 5.7984 10.9178
angles (deg): 105.40 100.75 90.00
Site moments in Bohr magnetons follow the coordinates.
Atoms (fractional coordinates):
Dy: 0.0000 0.0000 0.0000  0.02
Np: 0.5986 0.5986 0.1972  3.67
As: 0.3989 0.8989 0.7978  0.00
Np: 0.2007 0.2007 0.4015  -3.69
Np: 0.4014 0.4014 0.8028  3.67
Np: 0.7993 0.7993 0.5985  -3.69
As: 0.8009 0.3009 0.6018  0.03
As: 0.6011 0.1011 0.2022  0.00
As: 0.0000 0.5000 0.0000  -0.09
As: 0.1991 0.6991 0.3982  0.03